## TbHo2S (PBE-GGA)

Data for TbHo2S after structural relaxation.

Theoretical density   7.5 g cm⁻³
Formation energy from raw total energies   -0.72 eV per atom
DOS(E_F)   3.89 states/eV/f.u.

abc: 3.6348 3.6348 10.2423
angles: 79.78 79.78 60.00
Fractional positions:
S1 0.5000 0.5000 0.5000
Tb1 0.0000 0.0000 0.0000
Ho1 0.1121 0.1121 0.6638
Ho2 0.8879 0.8879 0.3362

***

## Tb6RhAu5 (PBE-GGA)

Data for Tb6RhAu5 after structural relaxation.

Theoretical density   12.2 g cm⁻³
DOS(E_F)   8.24 states/eV/f.u.

abc: 5.0644 8.7642 8.7642
angles: 119.54 106.79 106.79
Fractional positions:
Rh1 0.0000 0.0000 0.0000
Tb1 0.2446 0.0823 0.4077
Tb2 0.7554 0.5923 0.9177
Tb3 0.7404 0.2410 0.2410
Tb4 0.2596 0.7590 0.7590
Tb5 0.2446 0.4077 0.0823
Tb6 0.7554 0.9177 0.5923
Au1 0.5000 0.1711 0.8289
Au2 0.0000 0.3352 0.6648
Au3 0.5000 0.5000 0.5000
Au4 0.0000 0.6648 0.3352
Au5 0.5000 0.8289 0.1711

***

Number 1: calculated total energy -0.38193 Ry per atom, volume 28.68 Å³ per atom. Number 2: calculated total energy -0.37724 Ry per atom, volume 23.10 Å³ per atom.